Compound: LuPaGaAu
Source: the Alexandria database
Functional: PBE
Structure: optimized geometry

Unit cell a=5.0562 b=5.0562 c=5.0562 alpha=60.00 beta=60.00 gamma=60.00
Last column: nearest neighbours and their distance in Å.
Fractional coordinates of all 4 atoms:
Lu1 0.0000 0.0000 0.0000  4 Ga 3.10, 4 Au 3.10
Pa1 0.5000 0.5000 0.5000  4 Au 3.10, 4 Ga 3.10
Ga1 0.2500 0.2500 0.2500  4 Pa 3.10, 4 Lu 3.10
Au1 0.7500 0.7500 0.7500  4 Pa 3.10, 4 Lu 3.10

Results
- SG = F-43m (216)
- E (hartree per atom) = -0.199